## w
DFT (PBE) results for RbBi3Pb3 after structural relaxation.

Cell and atoms, written as POSCAR:
```
RbBi3Pb3
1.0
4.639 2.679 8.372
-4.639 2.679 8.372
0.000 -5.357 8.372
Rb Bi Pb
2 6 6
Cartesian
0.000 0.000 4.196
0.000 0.000 20.921
-1.513 -2.637 10.375
-3.040 -0.008 14.742
-1.527 2.629 10.375
1.527 -2.629 14.742
3.040 0.008 10.375
1.513 2.637 14.742
-3.121 0.000 9.498
-1.560 -2.703 15.618
1.561 -2.703 9.498
-1.561 2.703 15.618
1.560 2.703 9.498
3.121 0.000 15.618
```

* space group: R-3 (148)

## x
DFT (PBE) results for RbBi3Pb3 after structural relaxation.

Cell and atoms, written as POSCAR:
```
RbBi3Pb3
1.0
8.850 0.000 0.000
0.000 8.850 0.000
0.000 0.000 8.850
Rb Bi Pb
2 6 6
Cartesian
0.000 0.000 0.000
4.425 4.425 4.425
0.000 2.213 4.425
0.000 6.638 4.425
2.213 4.425 0.000
4.425 0.000 2.213
4.425 0.000 6.638
6.638 4.425 0.000
0.000 4.425 2.213
0.000 4.425 6.638
2.213 0.000 4.425
4.425 2.213 0.000
4.425 6.638 0.000
6.638 0.000 4.425
```

* space group: Pm-3n (223)

The most stable arrangement is w, and the next structure is 96 meV per atom less stable.

## w
DFT (PBE) results for RbBi3Pb after structural relaxation.

Cell and atoms, written as POSCAR:
```
RbBi3Pb
1.0
6.087 0.000 0.000
0.000 6.087 0.000
0.000 0.000 6.087
Rb Bi Pb
1 3 1
Cartesian
0.000 0.000 0.000
0.000 3.043 3.043
3.043 0.000 3.043
3.043 3.043 0.000
3.043 3.043 3.043
```

* space group: Pm-3m (221)

## x
DFT (PBE) results for RbBi3Pb after structural relaxation.

Cell and atoms, written as POSCAR:
```
RbBi3Pb
1.0
7.130 0.000 0.000
0.000 7.564 0.000
0.000 0.000 7.417
Rb Bi Pb
2 6 2
Cartesian
0.000 1.846 0.000
3.565 5.718 3.709
0.000 4.636 5.115
1.620 1.716 3.628
1.945 5.848 7.336
3.565 2.927 1.406
5.185 5.848 7.336
5.510 1.716 3.628
0.000 6.677 2.646
3.565 0.887 6.355
```

* space group: Pmn2_1 (31)

The most stable arrangement is x, and the next structure is 428 meV per atom less stable.

## w
DFT (PBE) results for Rb3Bi4Pb2 after structural relaxation.

Cell and atoms, written as POSCAR:
```
Rb3Bi4Pb2
1.0
5.419 0.000 0.000
-2.696 6.894 0.000
-0.022 -2.691 10.333
Rb Bi Pb
3 4 2
Cartesian
0.000 0.000 0.000
0.003 4.592 3.068
2.698 -0.389 7.265
-0.005 0.127 4.390
-0.014 1.224 9.649
2.715 2.979 0.684
2.706 4.075 5.942
-0.005 2.454 6.659
2.706 1.748 3.674
```

* space group: P-1 (2)

## x
DFT (PBE) results for Rb3Bi4Pb2 after structural relaxation.

Cell and atoms, written as POSCAR:
```
Rb3Bi4Pb2
1.0
8.952 -6.733 0.000
8.952 6.733 0.000
-0.561 0.000 6.509
Rb Bi Pb
6 8 4
Cartesian
8.531 5.455 4.882
6.132 1.424 5.963
6.412 -1.424 2.709
10.931 1.424 3.801
11.211 -1.424 0.546
8.812 -5.455 1.627
2.345 1.416 5.586
6.729 2.905 2.732
2.626 -1.416 2.332
10.895 2.905 0.522
6.448 -2.905 5.987
14.717 1.416 4.178
10.614 -2.905 3.777
14.998 -1.416 0.923
3.709 1.794 2.414
3.429 -1.794 5.669
13.914 1.794 0.840
13.633 -1.794 4.095
```

* space group: C2/c (15)

The most stable arrangement is w, and the next structure is 83 meV per atom less stable.

## w
DFT (PBE) results for Rb3Bi3Pb2 after structural relaxation.

Cell and atoms, written as POSCAR:
```
Rb3Bi3Pb2
1.0
3.078 -6.196 0.000
3.078 6.196 0.000
0.000 0.000 17.040
Rb Bi Pb
6 6 4
Cartesian
3.078 5.963 12.780
3.078 4.348 0.482
3.078 4.348 8.039
3.078 -4.348 9.002
3.078 -4.348 16.559
3.078 -5.963 4.260
3.078 2.610 4.260
3.078 0.575 1.778
3.078 0.575 6.743
3.078 -0.575 10.298
3.078 -0.575 15.263
3.078 -2.610 12.780
3.078 2.333 11.280
3.078 2.333 14.280
3.078 -2.333 2.760
3.078 -2.333 5.760
```

* space group: Cmcm (63)

## x
DFT (PBE) results for Rb3Bi3Pb2 after structural relaxation.

Cell and atoms, written as POSCAR:
```
Rb3Bi3Pb2
1.0
2.906 -6.718 0.000
2.906 6.718 0.000
0.000 0.000 17.362
Rb Bi Pb
6 6 4
Cartesian
2.906 5.685 10.726
2.906 5.685 15.317
2.906 1.872 13.021
2.906 -1.872 4.340
2.906 -5.685 2.045
2.906 -5.685 6.636
2.906 2.268 4.340
2.906 1.435 9.339
2.906 1.435 16.704
2.906 -1.435 0.658
2.906 -1.435 8.023
2.906 -2.268 13.021
2.906 3.787 1.517
2.906 3.787 7.163
2.906 -3.787 10.198
2.906 -3.787 15.844
```

* space group: Cmcm (63)

The most stable arrangement is x, and the next structure is 75 meV per atom less stable.

## w
DFT (PBE) results for RbBi2Pb2 after structural relaxation.

Cell and atoms, written as POSCAR:
```
RbBi2Pb2
1.0
5.385 0.000 0.000
0.000 5.385 0.000
0.000 0.000 14.087
Rb Bi Pb
2 4 4
Cartesian
0.000 0.000 0.000
2.693 2.693 7.043
0.000 0.000 5.392
0.000 0.000 8.695
2.693 2.693 1.651
2.693 2.693 12.436
0.000 2.693 3.522
0.000 2.693 10.565
2.693 0.000 3.522
2.693 0.000 10.565
```

* space group: I4/mmm (139)

## x
DFT (PBE) results for RbBi2Pb2 after structural relaxation.

Cell and atoms, written as POSCAR:
```
RbBi2Pb2
1.0
-2.527 2.549 15.105
2.527 -2.549 15.105
2.527 2.549 -15.105
Rb Bi Pb
2 4 4
Cartesian
0.000 1.274 2.443
2.527 1.274 12.662
2.527 1.274 -4.135
2.527 1.274 -0.872
0.000 1.274 15.977
0.000 1.274 19.239
2.527 -1.274 8.906
2.527 1.274 6.252
0.000 1.274 8.853
0.000 3.823 6.198
```

* space group: Imma (74)

The most stable arrangement is w, and the next structure is 35 meV per atom less stable.

## w
DFT (PBE) results for RbBi2Pb2 after structural relaxation.

Cell and atoms, written as POSCAR:
```
RbBi2Pb2
1.0
9.472 0.000 0.000
0.000 9.472 0.000
0.000 0.000 4.129
Rb Bi Pb
2 4 4
Cartesian
0.000 0.000 0.000
4.736 4.736 0.000
1.221 3.515 0.000
3.515 8.251 0.000
5.957 1.221 0.000
8.251 5.957 0.000
1.398 6.135 2.065
3.338 1.398 2.065
6.135 8.074 2.065
8.074 3.338 2.065
```

* space group: P4/mbm (127)

## x
DFT (PBE) results for RbBi2Pb2 after structural relaxation.

Cell and atoms, written as POSCAR:
```
RbBi2Pb2
1.0
9.831 0.000 0.000
0.000 9.831 0.000
0.000 0.000 3.800
Rb Bi Pb
2 4 4
Cartesian
0.000 0.000 0.000
4.915 4.915 0.000
1.576 3.339 1.900
3.339 8.254 1.900
6.492 1.576 1.900
8.254 6.492 1.900
1.209 6.124 0.000
3.706 1.209 0.000
6.124 8.622 0.000
8.622 3.706 0.000
```

* space group: P4/mbm (127)

The most stable arrangement is x, and the next structure is 24 meV per atom less stable.

## w
DFT (PBE) results for Rb2BiPb2 after structural relaxation.

Cell and atoms, written as POSCAR:
```
Rb2BiPb2
1.0
5.125 0.000 0.000
0.000 5.125 0.000
0.000 0.000 15.990
Rb Bi Pb
4 2 4
Cartesian
0.000 2.563 3.997
0.000 2.563 11.992
2.563 0.000 3.997
2.563 0.000 11.992
0.000 0.000 0.000
2.563 2.563 7.995
0.000 0.000 6.608
0.000 0.000 9.381
2.563 2.563 1.386
2.563 2.563 14.603
```

* space group: I4/mmm (139)

## x
DFT (PBE) results for Rb2BiPb2 after structural relaxation.

Cell and atoms, written as POSCAR:
```
Rb2BiPb2
1.0
6.525 -2.962 0.000
6.525 2.962 0.000
-6.161 0.000 11.153
Rb Bi Pb
4 2 4
Cartesian
-1.039 0.000 2.012
-1.366 0.000 6.869
8.255 0.000 4.285
7.928 0.000 9.142
2.821 0.000 1.765
4.068 0.000 9.389
-1.241 0.000 10.548
2.406 0.000 6.663
4.483 0.000 4.490
8.130 0.000 0.606
```

* space group: C2/m (12)

## y
DFT (PBE) results for Rb2BiPb2 after structural relaxation.

Cell and atoms, written as POSCAR:
```
Rb2BiPb2
1.0
10.622 0.000 0.000
0.000 10.622 0.000
0.000 0.000 3.590
Rb Bi Pb
4 2 4
Cartesian
2.103 3.208 0.000
3.208 8.519 0.000
7.414 2.103 0.000
8.519 7.414 0.000
0.000 0.000 1.795
5.311 5.311 1.795
1.067 6.378 1.795
4.244 1.067 1.795
6.378 9.555 1.795
9.555 4.244 1.795
```

* space group: P4/mbm (127)

The most stable arrangement is x, and the next structure is 255 meV per atom less stable.

## w
DFT (PBE) results for Rb2BiPb after structural relaxation.

Cell and atoms, written as POSCAR:
```
Rb2BiPb
1.0
13.485 0.000 0.000
0.000 13.485 0.000
0.000 0.000 6.057
Rb Bi Pb
8 4 4
Cartesian
1.185 3.371 0.757
3.371 7.928 2.271
3.371 12.299 5.300
5.557 3.371 3.786
7.928 10.114 3.786
10.114 1.185 5.300
10.114 5.557 2.271
12.299 10.114 0.757
0.000 0.000 0.000
0.000 6.742 1.514
6.742 0.000 4.543
6.742 6.742 3.028
0.000 0.000 3.028
0.000 6.742 4.543
6.742 0.000 1.514
6.742 6.742 0.000
```

* space group: I-42d (122)

## x
DFT (PBE) results for Rb2BiPb after structural relaxation.

Cell and atoms, written as POSCAR:
```
Rb2BiPb
1.0
8.757 0.000 0.000
0.000 8.757 0.000
0.000 0.000 8.757
Rb Bi Pb
8 4 4
Cartesian
2.189 2.189 2.189
2.189 2.189 6.568
2.189 6.568 2.189
2.189 6.568 6.568
6.568 2.189 2.189
6.568 2.189 6.568
6.568 6.568 2.189
6.568 6.568 6.568
0.000 0.000 0.000
0.000 4.378 4.378
4.378 0.000 4.378
4.378 4.378 0.000
0.000 0.000 4.378
0.000 4.378 0.000
4.378 0.000 0.000
4.378 4.378 4.378
```

* space group: Fm-3m (225)

The most stable arrangement is w, and the next structure is 10 meV per atom less stable.